## HgBiCl3 (GGA-PBE)

Data for crystalline HgBiCl3 at its relaxed geometry.

It has space group Cmcm (No. 63), with a = 7.242 Å, b = 13.754 Å, c = 10.830 Å, α = 90.00°, β = 90.00° and γ = 90.00°. Symmetry generates all atoms from Hg at (0.000, 0.098, 0.250), Bi at (0.000, 0.466, 0.250), Cl at (0.000, 0.500, 0.000) and Cl at (0.248, 0.154, 0.750).

For the energy above the lowest structure with this stoichiometry, the calculation gives 97 meV per atom. The value obtained for the raw formation energy is -0.66 eV per atom.